[1]
Density functional theory data (GGA-PBE) for a relaxed structure of PrInGa2.

Calculated values
excess energy over the best structure of this formula in the dataset	10	meV/atom
DOS at the Fermi energy	2.5	states/eV/cell
formation energy	-477	meV/atom
energy	-3.869	eV per atom

Cell: 4.381 4.601 4.601 Å, 90.00 90.00 90.00°
Sites, in units of the cell vectors:
Pr (0.500, 0.500, 0.500)
Ga (0.000, 0.000, 0.500)
Ga (0.000, 0.500, 0.000)
In (0.500, 0.000, 0.000)

=====

[2]
Density functional theory data (GGA-PBE) for a relaxed structure of Pr5In4Ga.

Calculated values
DOS at the Fermi energy	5.5	states/eV/cell
formation energy	-501	meV/atom
energy	-4.289	eV per atom

Cell: 3.851 3.851 19.553 Å, 90.00 90.00 90.00°
Sites, in units of the cell vectors:
Pr (0.500, 0.500, 0.092)
Pr (0.500, 0.500, 0.295)
Pr (0.500, 0.500, 0.500)
Pr (0.500, 0.500, 0.705)
Pr (0.500, 0.500, 0.908)
In (0.000, 0.000, 0.194)
In (0.000, 0.000, 0.398)
In (0.000, 0.000, 0.602)
In (0.000, 0.000, 0.806)
Ga (0.000, 0.000, 0.000)

=====

[3]
Density functional theory data (GGA-PBE) for a relaxed structure of PrIn6Ga.

Calculated values
DOS at the Fermi energy	2.1	states/eV/cell
formation energy	-185	meV/atom
energy	-3.215	eV per atom

Cell: 4.330 6.927 6.927 Å, 89.99 90.00 90.00°
Sites, in units of the cell vectors:
Pr (0.500, 0.000, 0.000)
In (0.000, 0.734, 0.266)
In (0.000, 0.266, 0.734)
In (0.000, 0.735, 0.735)
In (0.000, 0.265, 0.265)
In (0.500, 0.500, 0.000)
In (0.500, 0.000, 0.500)
Ga (0.500, 0.500, 0.500)

=====

[4]
Density functional theory data (GGA-PBE) for a relaxed structure of Pr8In2Ga.

Calculated values
DOS at the Fermi energy	12.1	states/eV/cell
formation energy	-258	meV/atom
energy	-4.507	eV per atom

Cell: 5.382 7.053 10.095 Å, 106.06 105.46 90.00°
Sites, in units of the cell vectors:
Pr (0.408, 0.538, 0.816)
Pr (0.655, 0.977, 0.309)
Pr (0.791, 0.697, 0.583)
Pr (0.991, 0.230, 0.982)
Pr (0.209, 0.303, 0.417)
Pr (0.345, 0.023, 0.691)
Pr (0.592, 0.462, 0.184)
Pr (0.009, 0.770, 0.018)
In (0.823, 0.265, 0.646)
In (0.177, 0.735, 0.354)
Ga (0.500, 0.000, 0.000)

=====

[5]
Density functional theory data (GGA-PBE) for a relaxed structure of PrInGa2.

Calculated values
excess energy over the best structure of this formula in the dataset	176	meV/atom
DOS at the Fermi energy	2.4	states/eV/cell
formation energy	-311	meV/atom
energy	-3.704	eV per atom

Cell: 5.114 5.114 5.114 Å, 59.98 59.98 59.98°
Sites, in units of the cell vectors:
Pr (0.500, 0.500, 0.500)
In (0.000, 0.000, 0.000)
Ga (0.250, 0.250, 0.250)
Ga (0.750, 0.750, 0.750)

=====

[6]
Density functional theory data (GGA-PBE) for a relaxed structure of Pr4In3Ga.

Calculated values
excess energy over the best structure of this formula in the dataset	0	meV/atom
DOS at the Fermi energy	5.0	states/eV/cell
formation energy	-503	meV/atom
energy	-4.298	eV per atom

Cell: 3.838 3.838 15.648 Å, 90.00 90.00 90.00°
Sites, in units of the cell vectors:
Pr (0.000, 0.000, 0.885)
Pr (0.000, 0.000, 0.115)
Pr (0.000, 0.000, 0.372)
Pr (0.000, 0.000, 0.628)
Ga (0.500, 0.500, 0.000)
In (0.500, 0.500, 0.244)
In (0.500, 0.500, 0.500)
In (0.500, 0.500, 0.756)

=====

[7]
Density functional theory data (GGA-PBE) for a relaxed structure of Pr4InGa.

Calculated values
excess energy over the best structure of this formula in the dataset	44	meV/atom
DOS at the Fermi energy	6.8	states/eV/cell
formation energy	-130	meV/atom
energy	-4.277	eV per atom

Cell: 3.935 8.571 5.867 Å, 89.97 90.00 90.00°
Sites, in units of the cell vectors:
Pr (0.500, 0.725, 0.000)
Pr (0.500, 0.275, 0.000)
Pr (0.000, 0.202, 0.500)
Pr (0.000, 0.798, 0.500)
In (0.500, 0.500, 0.500)
Ga (0.000, 0.000, 0.000)

=====

[8]
Density functional theory data (GGA-PBE) for a relaxed structure of Pr7In2Ga2.

Calculated values
DOS at the Fermi energy	15.3	states/eV/cell
formation energy	-121	meV/atom
energy	-4.211	eV per atom

Cell: 6.802 8.319 6.802 Å, 90.00 110.91 90.00°
Sites, in units of the cell vectors:
Pr (0.000, 0.298, 0.500)
Pr (0.500, 0.702, 0.000)
Pr (0.000, 0.702, 0.500)
Pr (0.500, 0.298, 0.000)
Pr (0.000, 0.000, 0.000)
Pr (0.500, 0.720, 0.500)
Pr (0.500, 0.280, 0.500)
In (0.701, 0.000, 0.299)
In (0.299, 0.000, 0.701)
Ga (0.836, 0.500, 0.836)
Ga (0.164, 0.500, 0.164)

=====

[9]
Density functional theory data (GGA-PBE) for a relaxed structure of Pr4InGa.

Calculated values
excess energy over the best structure of this formula in the dataset	0	meV/atom
DOS at the Fermi energy	9.3	states/eV/cell
formation energy	-174	meV/atom
energy	-4.321	eV per atom

Cell: 5.227 5.228 7.548 Å, 89.96 89.98 90.01°
Sites, in units of the cell vectors:
Pr (0.501, 0.997, 0.262)
Pr (0.501, 0.998, 0.735)
Pr (0.001, 0.497, 0.735)
Pr (0.001, 0.497, 0.262)
In (0.501, 0.498, 0.998)
Ga (0.001, 0.997, 0.498)

=====

[10]
Density functional theory data (GGA-PBE) for a relaxed structure of Pr5InGa4.

Calculated values
DOS at the Fermi energy	4.9	states/eV/cell
formation energy	-532	meV/atom
energy	-4.407	eV per atom

Cell: 3.745 3.745 18.992 Å, 90.00 90.00 90.00°
Sites, in units of the cell vectors:
Pr (0.500, 0.500, 0.110)
Pr (0.500, 0.500, 0.305)
Pr (0.500, 0.500, 0.500)
Pr (0.500, 0.500, 0.695)
Pr (0.500, 0.500, 0.890)
In (0.000, 0.000, 0.000)
Ga (0.000, 0.000, 0.207)
Ga (0.000, 0.000, 0.402)
Ga (0.000, 0.000, 0.598)
Ga (0.000, 0.000, 0.793)

=====

[11]
Density functional theory data (GGA-PBE) for a relaxed structure of PrInGaPt.

Calculated values
DOS at the Fermi energy	2.0	states/eV/cell
formation energy	-634	meV/atom
energy	-4.780	eV per atom

Cell: 4.980 4.980 4.980 Å, 60.00 60.00 60.00°
Sites, in units of the cell vectors:
Pr (0.250, 0.250, 0.250)
Ga (0.500, 0.500, 0.500)
Pt (0.000, 0.000, 0.000)
In (0.750, 0.750, 0.750)

=====

[12]
Density functional theory data (GGA-PBE) for a relaxed structure of Pr2InGaPt6.

Calculated values
DOS at the Fermi energy	3.9	states/eV/cell
formation energy	-738	meV/atom
energy	-5.894	eV per atom

Cell: 5.668 8.979 8.985 Å, 36.79 71.62 90.01°
Sites, in units of the cell vectors:
Pr (0.298, 0.703, 0.405)
Pr (0.702, 0.297, 0.595)
In (0.500, 0.500, 0.000)
Ga (0.000, 0.000, 0.000)
Pt (0.244, 0.754, 0.015)
Pt (0.741, 0.754, 0.015)
Pt (0.244, 0.258, 0.511)
Pt (0.756, 0.246, 0.985)
Pt (0.259, 0.246, 0.985)
Pt (0.756, 0.742, 0.489)